# GGA-PBE KIr2Rh, optimized geometry
# Formation energy in eV/f.u.: 3.750
# Relative energy among the computed polymorphs in meV/atom: 483
# DFT total energy in eV/atom: -5.61
# Total magnetic moment in μB per formula unit: 1.06
data_KIr2Rh
_chemical_formula_sum 'K1 Ir2 Rh1'
_cell_length_a 2.726
_cell_length_b 4.844
_cell_length_c 5.153
_cell_angle_alpha 90.00
_cell_angle_beta 90.00
_cell_angle_gamma 90.00
_symmetry_space_group_name_H-M 'P m m m'
_symmetry_Int_Tables_number 47
loop_
_symmetry_equiv_pos_as_xyz
'x,y,z'
'-x,-y,-z'
'-x,-y,z'
'x,y,-z'
'x,-y,-z'
'-x,y,z'
'-x,y,-z'
'x,-y,z'
loop_
_atom_site_label
_atom_site_type_symbol
_atom_site_fract_x
_atom_site_fract_y
_atom_site_fract_z
K1 K 0.000 0.000 0.000
Ir1 Ir 0.000 0.500 0.500
Ir2 Ir 0.500 0.000 0.500
Rh1 Rh 0.500 0.500 0.000